First-principles (PBE-GGA) data for an optimized crystal structure of Nb2TlFe, as listed in Alexandria via LeMat-Bulk.

a = 5.9073 Å, b = 5.9073 Å, c = 5.9073 Å
α = 102.21°, β = 102.21°, γ = 125.24°
Last column: nearest neighbours and their distance in Å.
Positions (direct):
Nb  0.0605  0.1250  0.4355  2 Fe 2.41
Nb  0.3750  0.9395  0.0645  2 Fe 2.41
Nb  0.6895  0.6250  0.5645  2 Fe 2.41
Nb  0.8750  0.3105  0.9355  2 Fe 2.41
Tl  0.2500  0.7500  0.5000  2 Fe 2.72
Tl  0.5000  0.5000  0.0000  2 Fe 2.72
Fe  0.0000  0.0000  0.0000  4 Nb 2.41
Fe  0.7500  0.2500  0.5000  4 Nb 2.41

Values from the calculation:
VASP energy: -7.21 eV/atom
Size of the total moment: 0.0 μB/cell
Space-group type: I-42d (122)